A geometry-optimized Rb2PuCuI6 structure, computed with PBE.

a = 8.4387 Å, b = 8.4387 Å, c = 8.4387 Å
α = 120.23°, β = 120.23°, γ = 89.61°
Element x y z (fractional)
Rb 0.2500 0.7500 0.5000
Rb 0.7500 0.2500 0.5000
Pu 0.0000 0.0000 0.0000
Cu 0.5000 0.5000 0.0000
I 0.2577 0.2577 0.0000
I 0.2595 0.2595 0.5190
I 0.2595 0.7405 0.0000
I 0.7405 0.2595 0.0000
I 0.7405 0.7405 0.4810
I 0.7423 0.7423 0.0000

Summary:
The value obtained for the calculated density is 4.86 g/cm3. The final energy comes out at -39.536 eV for the cell shown. The uncorrected formation energy is -987 meV per atom.


A geometry-optimized Rb3PuCu2I9 structure, computed with PBE.

a = 8.3442 Å, b = 8.3442 Å, c = 10.2194 Å
α = 90.00°, β = 90.00°, γ = 120.00°
Element x y z (fractional)
Rb 0.0000 0.0000 0.0000
Rb 0.3333 0.6667 0.6817
Rb 0.6667 0.3333 0.3183
Pu 0.0000 0.0000 0.5000
Cu 0.3333 0.6667 0.1117
Cu 0.6667 0.3333 0.8883
I 0.0000 0.5000 0.0000
I 0.1712 0.3423 0.3288
I 0.1712 0.8288 0.3288
I 0.3423 0.1712 0.6712
I 0.5000 0.0000 0.0000
I 0.5000 0.5000 0.0000
I 0.6577 0.8288 0.3288
I 0.8288 0.1712 0.6712
I 0.8288 0.6577 0.6712

Summary:
The value obtained for the calculated density is 4.77 g/cm3. The final energy comes out at -52.414 eV for the cell shown. The uncorrected formation energy is -869 meV per atom.


A geometry-optimized PuTl2CuI6 structure, computed with PBE.

a = 8.2602 Å, b = 9.3208 Å, c = 13.4192 Å
α = 90.00°, β = 127.09°, γ = 90.00°
Element x y z (fractional)
Pu 0.0000 0.0000 0.0000
Pu 0.0000 0.5000 0.5000
Tl 0.2202 0.1055 0.7532
Tl 0.2202 0.3945 0.2532
Tl 0.7798 0.6055 0.7468
Tl 0.7798 0.8945 0.2468
Cu 0.5000 0.0000 0.5000
Cu 0.5000 0.5000 0.0000
I 0.1126 0.2110 0.4451
I 0.1126 0.2890 0.9451
I 0.2627 0.6688 0.4482
I 0.2627 0.8312 0.9482
I 0.3911 0.0261 0.2821
I 0.3911 0.4739 0.7821
I 0.6089 0.5261 0.2179
I 0.6089 0.9739 0.7179
I 0.7373 0.1688 0.0518
I 0.7373 0.3312 0.5518
I 0.8874 0.7110 0.0549
I 0.8874 0.7890 0.5549

Summary:
The value obtained for the calculated density is 5.95 g/cm3. The final energy comes out at -78.199 eV for the cell shown. The uncorrected formation energy is -664 meV per atom.


A geometry-optimized Rb3Cu2I4 structure, computed with PBE.

a = 10.0594 Å, b = 10.0594 Å, c = 9.0786 Å
α = 93.00°, β = 93.00°, γ = 55.98°
Element x y z (fractional)
Rb 0.0187 0.9813 0.7500
Rb 0.2531 0.4634 0.1044
Rb 0.4634 0.2531 0.6044
Rb 0.5366 0.7469 0.3956
Rb 0.7469 0.5366 0.8956
Rb 0.9813 0.0187 0.2500
Cu 0.0229 0.3685 0.5149
Cu 0.3685 0.0229 0.0149
Cu 0.6315 0.9771 0.9851
Cu 0.9771 0.6315 0.4851
I 0.1757 0.2420 0.8037
I 0.2272 0.6660 0.4795
I 0.2420 0.1757 0.3037
I 0.3340 0.7728 0.0205
I 0.6660 0.2272 0.9795
I 0.7580 0.8243 0.6963
I 0.7728 0.3340 0.5205
I 0.8243 0.7580 0.1963

Summary:
The value obtained for the calculated density is 3.89 g/cm3. The final energy comes out at -48.709 eV for the cell shown. The uncorrected formation energy is -784 meV per atom.


A geometry-optimized Rb2CuI4 structure, computed with PBE.

a = 10.0689 Å, b = 10.0689 Å, c = 10.0689 Å
α = 147.80°, β = 147.80°, γ = 46.18°
Element x y z (fractional)
Rb 0.1415 0.1415 0.0000
Rb 0.8585 0.8585 0.0000
Cu 0.5000 0.5000 0.0000
I 0.0000 0.5000 0.5000
I 0.3442 0.3442 0.0000
I 0.5000 0.0000 0.5000
I 0.6558 0.6558 0.0000

Summary:
The value obtained for the calculated density is 4.27 g/cm3. The final energy comes out at -18.092 eV for the cell shown. The uncorrected formation energy is -837 meV per atom.


A geometry-optimized RbCuI4 structure, computed with PBE.

a = 8.9543 Å, b = 8.9543 Å, c = 3.6055 Å
α = 90.00°, β = 90.00°, γ = 100.52°
Element x y z (fractional)
Rb 0.0000 0.0000 0.0000
Cu 0.5000 0.5000 0.5000
I 0.2268 0.7732 0.5000
I 0.3373 0.3373 0.0000
I 0.6627 0.6627 0.0000
I 0.7732 0.2268 0.5000

Summary:
The value obtained for the calculated density is 3.84 g/cm3. The final energy comes out at -13.522 eV for the cell shown. The value obtained for the energy above the most stable polymorph in this dataset is 0.754 eV/f.u. The uncorrected formation energy is -376 meV per atom.


A geometry-optimized RbCu4I8 structure, computed with PBE.

a = 8.4502 Å, b = 8.4502 Å, c = 8.4502 Å
α = 62.07°, β = 62.07°, γ = 62.07°
Element x y z (fractional)
Rb 0.0000 0.0000 0.0000
Cu 0.0000 0.5000 0.5000
Cu 0.5000 0.0000 0.5000
Cu 0.5000 0.5000 0.0000
Cu 0.5000 0.5000 0.5000
I 0.2619 0.2619 0.2619
I 0.2726 0.2726 0.7075
I 0.2726 0.7075 0.2726
I 0.2925 0.7274 0.7274
I 0.7075 0.2726 0.2726
I 0.7274 0.2925 0.7274
I 0.7274 0.7274 0.2925
I 0.7381 0.7381 0.7381

Summary:
The value obtained for the calculated density is 5.04 g/cm3. The final energy comes out at -31.448 eV for the cell shown. The uncorrected formation energy is -130 meV per atom.


A geometry-optimized Rb3Cu2I6 structure, computed with PBE.

a = 15.7211 Å, b = 15.7211 Å, c = 15.7211 Å
α = 160.15°, β = 160.15°, γ = 28.21°
Element x y z (fractional)
Rb 0.0000 0.0000 0.0000
Rb 0.1786 0.1786 0.0000
Rb 0.8214 0.8214 0.0000
Cu 0.3914 0.3914 0.0000
Cu 0.6086 0.6086 0.0000
I 0.0856 0.5856 0.5000
I 0.3036 0.3036 0.0000
I 0.4144 0.9144 0.5000
I 0.5856 0.0856 0.5000
I 0.6964 0.6964 0.0000
I 0.9144 0.4144 0.5000

Summary:
The value obtained for the calculated density is 4.25 g/cm3. The final energy comes out at -29.639 eV for the cell shown. The uncorrected formation energy is -840 meV per atom.